1.
TeAs: optimized geometry, PBEsol.

Unit cell a=3.5519 b=3.5519 c=3.5519 alpha=90.00 beta=90.00 gamma=90.00
Sites, in units of the cell vectors:
1 Te 0.0000 0.0000 0.0000
2 As 0.5000 0.5000 0.5000

Output
E_tot in eV/atom: -3.978

***

2.
CuHgRh2: optimized geometry, PBEsol.

Unit cell a=4.6560 b=4.6560 c=2.8489 alpha=90.00 beta=90.00 gamma=107.85
Sites, in units of the cell vectors:
1 Cu 0.0000 0.0000 0.0000
2 Hg 0.5000 0.5000 0.0000
3 Rh 0.0000 0.5000 0.5000
4 Rh 0.5000 0.0000 0.5000

Output
E_tot in eV/atom: -5.016
Energy of formation in meV per atom: 279

***

3.
SbSe2Cl: optimized geometry, PBEsol.

Unit cell a=6.4595 b=6.4595 c=6.4595 alpha=110.46 beta=110.46 gamma=107.51
Sites, in units of the cell vectors:
1 Sb 0.0000 0.0000 0.0000
2 Sb 0.7500 0.2500 0.5000
3 Se 0.0912 0.6250 0.9662
4 Se 0.3750 0.3412 0.4662
5 Se 0.6588 0.1250 0.0338
6 Se 0.8750 0.9088 0.5338
7 Cl 0.2500 0.7500 0.5000
8 Cl 0.5000 0.5000 0.0000

Output
E_tot in eV/atom: -3.535
Relative energy among the computed polymorphs in kJ per mole of atoms: 22.8

***

4.
Cs2MgH4: optimized geometry, PBEsol.

Unit cell a=7.8837 b=7.8837 c=7.8837 alpha=148.82 beta=148.82 gamma=44.67
Sites, in units of the cell vectors:
1 Cs 0.1461 0.1461 0.0000
2 Cs 0.8539 0.8539 0.0000
3 Mg 0.5000 0.5000 0.0000
4 H 0.0000 0.5000 0.5000
5 H 0.3667 0.3667 0.0000
6 H 0.5000 0.0000 0.5000
7 H 0.6333 0.6333 0.0000

Output
E_tot in eV/atom: -2.657
Relative energy among the computed polymorphs in kJ per mole of atoms: 0.0

***

5.
La2HgF2: optimized geometry, PBEsol.

Unit cell a=7.5419 b=7.5419 c=7.5419 alpha=150.13 beta=150.13 gamma=42.75
Sites, in units of the cell vectors:
1 La 0.1360 0.1360 0.0000
2 La 0.8640 0.8640 0.0000
3 Hg 0.5000 0.5000 0.0000
4 F 0.2500 0.7500 0.5000
5 F 0.7500 0.2500 0.5000

Output
E_tot in eV/atom: -5.416

***

6.
CrFeAg2: optimized geometry, PBEsol.

Unit cell a=8.9080 b=8.9080 c=8.9080 alpha=17.44 beta=17.44 gamma=17.44
Sites, in units of the cell vectors:
1 Cr 0.0000 0.0000 0.0000
2 Fe 0.7304 0.7304 0.7304
3 Ag 0.2443 0.2443 0.2443
4 Ag 0.4842 0.4842 0.4842

Output
E_tot in eV/atom: -6.088
Energy of formation in meV per atom: 369
Relative energy among the computed polymorphs in kJ per mole of atoms: 0.0

***

7.
Cr3W: optimized geometry, PBEsol.

Unit cell a=4.1165 b=4.1165 c=2.9248 alpha=90.00 beta=90.00 gamma=90.00
Sites, in units of the cell vectors:
1 Cr 0.0000 0.0000 0.0000
2 Cr 0.0000 0.5000 0.5000
3 Cr 0.5000 0.0000 0.5000
4 W 0.5000 0.5000 0.0000

Output
E_tot in eV/atom: -11.056
Energy of formation in meV per atom: 78

***

8.
LiCd2Pb: optimized geometry, PBEsol.

Unit cell a=6.3837 b=6.3837 c=3.0834 alpha=103.03 beta=103.03 gamma=125.16
Sites, in units of the cell vectors:
1 Li 0.0000 0.0000 0.0000
2 Cd 0.0000 0.5000 0.0000
3 Cd 0.5000 0.0000 0.0000
4 Pb 0.5000 0.5000 0.0000

Output
E_tot in eV/atom: -2.178
Energy of formation in meV per atom: -88